No. 1
First-principles (GGA-PBE) data for a relaxed CsScSiTe4 crystal, as listed in the Alexandria database.

```
data_CsScSiTe4
_chemical_formula_sum 'Cs2 Sc2 Si2 Te8'
_cell_length_a 6.957
_cell_length_b 7.634
_cell_length_c 10.388
_cell_angle_alpha 90.00
_cell_angle_beta 109.23
_cell_angle_gamma 90.00
_space_group_name_H-M_alt 'P 1 21/m 1'
_space_group_IT_number 11
loop_
_space_group_symop_operation_xyz
'x,y,z'
'-x,-y,-z'
'-x,y+1/2,-z'
'x,-y+1/2,z'
loop_
_atom_site_label
_atom_site_type_symbol
_atom_site_fract_x
_atom_site_fract_y
_atom_site_fract_z
_atom_site_occupancy
Cs1 Cs 0.179 0.250 0.450 1
Sc1 Sc 0.326 0.750 0.046 1
Si1 Si 0.129 0.250 0.847 1
Te1 Te 0.114 0.250 0.083 1
Te2 Te 0.233 0.750 0.310 1
Te3 Te 0.339 0.507 0.810 1
```

Summary:
Energy relative to the elements, uncorrected in eV/atom: -0.727
Uncorrected energy in eV/atom: -4.324

No. 2
First-principles (GGA-PBE) data for a relaxed SmIn2Cu crystal, as listed in the Alexandria database.

```
data_SmIn2Cu
_chemical_formula_sum 'Sm1 In2 Cu1'
_cell_length_a 3.421
_cell_length_b 3.421
_cell_length_c 7.669
_cell_angle_alpha 90.00
_cell_angle_beta 90.00
_cell_angle_gamma 90.00
_space_group_name_H-M_alt 'P 4/m m m'
_space_group_IT_number 123
_space_group_name_Hall '-P 4 2'
loop_
_atom_site_label
_atom_site_type_symbol
_atom_site_fract_x
_atom_site_fract_y
_atom_site_fract_z
_atom_site_occupancy
Sm1 Sm 0.000 0.000 0.000 1
In1 In 0.500 0.500 0.299 1
Cu1 Cu 0.000 0.000 0.500 1
```

Summary:
E_form in meV/atom: -196
Uncorrected energy in eV/atom: -3.769

No. 3
First-principles (GGA-PBE) data for a relaxed Li3W5 crystal, as listed in the Alexandria database.

```
data_Li3W5
_chemical_formula_sum 'Li6 W10'
_cell_length_a 8.638
_cell_length_b 9.282
_cell_length_c 3.093
_cell_angle_alpha 90.00
_cell_angle_beta 90.00
_cell_angle_gamma 90.00
_space_group_name_H-M_alt 'C m m m'
_space_group_IT_number 65
_space_group_name_Hall '-C 2 2'
loop_
_atom_site_label
_atom_site_type_symbol
_atom_site_fract_x
_atom_site_fract_y
_atom_site_fract_z
_atom_site_occupancy
Li1 Li 0.000 0.000 0.000 1
Li2 Li 0.234 0.000 0.500 1
W1 W 0.000 0.266 0.500 1
W2 W 0.000 0.500 0.000 1
W3 W 0.250 0.250 0.000 1
```

Summary:
E_form in meV/atom: 493
ΔE to the lowest computed polymorph in eV/atom: 0.0000
Uncorrected energy in eV/atom: -8.321

No. 4
First-principles (GGA-PBE) data for a relaxed Ti2MnTc crystal, as listed in the Alexandria database.

```
data_Ti2MnTc
_chemical_formula_sum 'Ti4 Mn2 Tc2'
_cell_length_a 2.692
_cell_length_b 4.665
_cell_length_c 9.831
_cell_angle_alpha 90.00
_cell_angle_beta 90.00
_cell_angle_gamma 90.00
_space_group_name_H-M_alt 'I m m m'
_space_group_IT_number 71
_space_group_name_Hall '-I 2 2'
loop_
_atom_site_label
_atom_site_type_symbol
_atom_site_fract_x
_atom_site_fract_y
_atom_site_fract_z
_atom_site_occupancy
Ti1 Ti 0.000 0.000 0.245 1
Mn1 Mn 0.000 0.000 0.000 1
Tc1 Tc 0.000 0.000 0.500 1
```

Summary:
E_form in meV/atom: 392
ΔE to the lowest computed polymorph in eV/atom: 0.7432
Uncorrected energy in eV/atom: -8.439

No. 5
First-principles (GGA-PBE) data for a relaxed CsSCl3 crystal, as listed in the Alexandria database.

```
data_CsSCl3
_chemical_formula_sum 'Cs4 S4 Cl12'
_cell_length_a 7.203
_cell_length_b 7.203
_cell_length_c 11.376
_cell_angle_alpha 90.00
_cell_angle_beta 90.00
_cell_angle_gamma 90.00
_space_group_name_H-M_alt 'I 4/m m m'
_space_group_IT_number 139
_space_group_name_Hall '-I 4 2'
loop_
_atom_site_label
_atom_site_type_symbol
_atom_site_fract_x
_atom_site_fract_y
_atom_site_fract_z
_atom_site_occupancy
Cs1 Cs 0.000 0.500 0.250 1
S1 S 0.000 0.000 0.000 1
S2 S 0.000 0.000 0.500 1
Cl1 Cl 0.000 0.000 0.203 1
Cl2 Cl 0.234 0.234 0.500 1
```

Summary:
ΔE to the lowest computed polymorph in eV/atom: 0.0608
Energy relative to the elements, uncorrected in eV/atom: -0.774
Uncorrected energy in eV/atom: -2.878

No. 6
First-principles (GGA-PBE) data for a relaxed SrLaI5 crystal, as listed in the Alexandria database.

```
data_SrLaI5
_chemical_formula_sum 'Sr4 La4 I20'
_cell_length_a 6.426
_cell_length_b 22.029
_cell_length_c 7.957
_cell_angle_alpha 90.00
_cell_angle_beta 95.75
_cell_angle_gamma 90.00
_space_group_name_H-M_alt 'C 1 2/c 1'
_space_group_IT_number 15
loop_
_space_group_symop_operation_xyz
'x,y,z'
'-x,-y,-z'
'-x,y,-z+1/2'
'x,-y,z+1/2'
'x+1/2,y+1/2,z'
'-x+1/2,-y+1/2,-z'
'-x+1/2,y+1/2,-z+1/2'
'x+1/2,-y+1/2,z+1/2'
loop_
_atom_site_label
_atom_site_type_symbol
_atom_site_fract_x
_atom_site_fract_y
_atom_site_fract_z
_atom_site_occupancy
Sr1 Sr 0.000 0.177 0.250 1
La1 La 0.000 0.420 0.250 1
I1 I 0.000 0.130 0.750 1
I2 I 0.004 0.303 0.507 1
I3 I 0.246 0.462 0.610 1
```

Summary:
ΔE to the lowest computed polymorph in eV/atom: 0.0628
Energy relative to the elements, uncorrected in eV/atom: -1.509
Uncorrected energy in eV/atom: -3.560

No. 7
First-principles (GGA-PBE) data for a relaxed Pm2NdSi4 crystal, as listed in the Alexandria database.

```
data_Pm2NdSi4
_chemical_formula_sum 'Pm4 Nd2 Si8'
_cell_length_a 3.942
_cell_length_b 4.410
_cell_length_c 17.866
_cell_angle_alpha 90.00
_cell_angle_beta 90.00
_cell_angle_gamma 90.00
_space_group_name_H-M_alt 'I m m m'
_space_group_IT_number 71
_space_group_name_Hall '-I 2 2'
loop_
_atom_site_label
_atom_site_type_symbol
_atom_site_fract_x
_atom_site_fract_y
_atom_site_fract_z
_atom_site_occupancy
Pm1 Pm 0.000 0.000 0.182 1
Nd1 Nd 0.000 0.500 0.500 1
Si1 Si 0.000 0.000 0.353 1
Si2 Si 0.000 0.500 0.066 1
```

Summary:
Energy relative to the elements, uncorrected in eV/atom: -0.743
Uncorrected energy in eV/atom: -5.881

No. 8
First-principles (GGA-PBE) data for a relaxed SbAsO4 crystal, as listed in the Alexandria database.

```
data_SbAsO4
_chemical_formula_sum 'Sb2 As2 O8'
_cell_length_a 5.140
_cell_length_b 5.140
_cell_length_c 9.044
_cell_angle_alpha 90.00
_cell_angle_beta 90.00
_cell_angle_gamma 90.00
_space_group_name_H-M_alt 'P -4 2 c'
_space_group_IT_number 112
loop_
_space_group_symop_operation_xyz
'x,y,z'
'y,-x,-z'
'-x,-y,z'
'-y,x,-z'
'x,-y,-z+1/2'
'y,x,z+1/2'
'-x,y,-z+1/2'
'-y,-x,z+1/2'
loop_
_atom_site_label
_atom_site_type_symbol
_atom_site_fract_x
_atom_site_fract_y
_atom_site_fract_z
_atom_site_occupancy
Sb1 Sb 0.000 0.000 0.000 1
As1 As 0.000 0.500 0.250 1
O1 O 0.182 0.298 0.363 1
```

Summary:
Energy relative to the elements, uncorrected in eV/atom: -1.051
Uncorrected energy in eV/atom: -5.818

No. 9
First-principles (GGA-PBE) data for a relaxed Re2NiMoIr crystal, as listed in the Alexandria database.

```
data_Re2NiMoIr
_chemical_formula_sum 'Re2 Ni1 Mo1 Ir1'
_cell_length_a 4.623
_cell_length_b 4.623
_cell_length_c 4.365
_cell_angle_alpha 90.00
_cell_angle_beta 90.00
_cell_angle_gamma 90.00
_space_group_name_H-M_alt 'P 4/m m m'
_space_group_IT_number 123
_space_group_name_Hall '-P 4 2'
loop_
_atom_site_label
_atom_site_type_symbol
_atom_site_fract_x
_atom_site_fract_y
_atom_site_fract_z
_atom_site_occupancy
Re1 Re 0.000 0.500 0.000 1
Ni1 Ni 0.000 0.000 0.500 1
Mo1 Mo 0.000 0.000 0.000 1
Ir1 Ir 0.500 0.500 0.500 1
```

Summary:
E_form in meV/atom: 2161
ΔE to the lowest computed polymorph in eV/atom: 0.6093
Uncorrected energy in eV/atom: -7.913

No. 10
First-principles (GGA-PBE) data for a relaxed Cs4Ac3SmSe8 crystal, as listed in the Alexandria database.

```
data_Cs4Ac3SmSe8
_chemical_formula_sum 'Cs12 Ac9 Sm3 Se24'
_cell_length_a 9.1416
_cell_length_b 9.1416
_cell_length_c 25.2831
_cell_angle_alpha 90.00
_cell_angle_beta 90.00
_cell_angle_gamma 120.00
_space_group_name_H-M_alt 'R -3 m'
_space_group_IT_number 166
_space_group_name_Hall '-R 3 2"'
loop_
_atom_site_label
_atom_site_type_symbol
_atom_site_fract_x
_atom_site_fract_y
_atom_site_fract_z
_atom_site_occupancy
Cs1 Cs 0.0000 0.0000 0.0000 1
Cs2 Cs 0.0000 0.5000 0.0000 1
Ac1 Ac 0.0000 0.5000 0.5000 1
Sm1 Sm 0.0000 0.0000 0.5000 1
Se1 Se 0.0000 0.0000 0.2328 1
Se2 Se 0.0126 0.5063 0.2309 1
```

Summary:
Energy relative to the elements, uncorrected in eV/atom: -1.781
Uncorrected energy in eV/atom: -4.802

No. 11
First-principles (GGA-PBE) data for a relaxed MgUGaIr crystal, as listed in the Alexandria database.

```
data_MgUGaIr
_chemical_formula_sum 'Mg4 U4 Ga4 Ir4'
_cell_length_a 6.724
_cell_length_b 6.724
_cell_length_c 6.724
_cell_angle_alpha 90.00
_cell_angle_beta 90.00
_cell_angle_gamma 90.00
_space_group_name_H-M_alt 'F -4 3 m'
_space_group_IT_number 216
_space_group_name_Hall 'F -4 2 3'
loop_
_atom_site_label
_atom_site_type_symbol
_atom_site_fract_x
_atom_site_fract_y
_atom_site_fract_z
_atom_site_occupancy
Mg1 Mg 0.000 0.000 0.000 1
U1 U 0.000 0.000 0.500 1
Ga1 Ga 0.250 0.250 0.750 1
Ir1 Ir 0.250 0.250 0.250 1
```

Summary:
E_form in meV/atom: -218
Uncorrected energy in eV/atom: -6.411

Question: What is the uncorrected energy in the eighth record?
Answer: -5.818 eV/atom

Question: What is the formula in the eighth record?
Answer: SbAsO4

Question: The highest uncorrected energy belongs to which entry?
Answer: CsSCl3